No. 1
The following is a PBE calculation of crystalline Na3ScPt at its relaxed geometry, from Alexandria.

Properties
- space-group type = Pm-3m (221)
- calculated formation energy (eV/atom) = 0.5190
- crystal system = cubic
- total energy (eV per atom) = -2.75

Cell lengths 5.3845, 5.3845, 5.3845 Å; angles 90.00, 90.00, 90.00 degrees
Site moments in Bohr magnetons follow the coordinates.
Fractional coordinates of all 5 atoms:
Sc 0.5000 0.5000 0.5000  0.88
Na 0.0000 0.5000 0.0000  0.01
Na 0.5000 0.0000 0.0000  0.00
Pt 0.0000 0.0000 0.0000  0.04
Na 0.0000 0.0000 0.5000  0.01

***

No. 2
The following is a PBE calculation of crystalline SrCu2Sb at its relaxed geometry, from Alexandria.

Properties
- space-group type = P4/mmm (123)
- crystal system = tetragonal
- total energy (eV per atom) = -3.48

Cell lengths 3.7006, 3.7001, 6.5835 Å; angles 90.00, 90.00, 90.00 degrees
Fractional coordinates of all 4 atoms:
Sb 0.5000 0.5000 0.2500
Cu 0.0000 0.0000 0.0580
Cu 0.0000 0.0000 0.4420
Sr 0.5000 0.5000 0.7500

***

No. 3
The following is a PBE calculation of crystalline K2Hf3Se6 at its relaxed geometry, from Alexandria.

Properties
- space-group type = C2/m (12)
- crystal system = monoclinic
- total energy (eV per atom) = -6.17

Cell lengths 6.5871, 6.5871, 8.3064 Å; angles 82.39, 74.65, 60.00 degrees
Fractional coordinates of all 11 atoms:
Hf 0.0000 0.0000 0.0000
Hf 0.3324 0.3352 0.0000
Hf 0.6676 0.6648 0.0000
Se 0.7300 0.0000 0.8020
Se 0.3996 0.6695 0.8013
Se 0.2700 0.0000 0.1980
Se 0.6004 0.3305 0.1987
Se 0.0691 0.3305 0.8013
K 0.1666 0.6669 0.5000
Se 0.9309 0.6695 0.1987
K 0.8334 0.3331 0.5000

***

No. 4
The following is a PBE calculation of crystalline PaSi3Pt at its relaxed geometry, from Alexandria.

Properties
- space-group type = Cmmm (65)
- crystal system = orthorhombic
- total energy (eV per atom) = -6.98

Cell lengths 4.0969, 4.1270, 10.9138 Å; angles 100.90, 90.00, 90.00 degrees
Fractional coordinates of all 10 atoms:
Si 0.5000 0.5545 0.1090
Pa 0.5000 0.1732 0.3464
Pt 0.0000 0.3878 0.7756
Si 0.5000 0.4455 0.8910
Si 0.0000 0.0544 0.1089
Si 0.0000 0.9456 0.8911
Pt 0.0000 0.6122 0.2244
Pa 0.5000 0.8268 0.6536
Si 0.0000 0.2758 0.5516
Si 0.0000 0.7242 0.4484

***

No. 5
The following is a PBE calculation of crystalline YNbHIr2 at its relaxed geometry, from Alexandria.

Properties
- space-group type = P4/mmm (123)
- crystal system = tetragonal
- total energy (eV per atom) = -7.48

Cell lengths 5.0357, 3.4792, 5.0357 Å; angles 90.00, 90.00, 90.00 degrees
Fractional coordinates of all 5 atoms:
Ir 0.0000 0.0000 0.5000
Nb 0.0000 0.0000 0.0000
H 0.0000 0.5000 0.0000
Y 0.5000 0.5000 0.5000
Ir 0.5000 0.0000 0.0000

***

No. 6
The following is a PBE calculation of crystalline Ca2NiBi2 at its relaxed geometry, from Alexandria.

Properties
- space-group type = P4/mbm (127)
- calculated formation energy (eV/atom) = -0.3762
- crystal system = tetragonal
- total energy (eV per atom) = -3.89

Cell lengths 7.4473, 7.4473, 4.8995 Å; angles 90.00, 90.00, 90.00 degrees
Fractional coordinates of all 10 atoms:
Ca 0.6638 0.8362 0.5000
Ca 0.3362 0.1638 0.5000
Ni 0.0000 0.0000 0.0000
Ca 0.1638 0.6638 0.5000
Bi 0.1556 0.3444 0.0000
Bi 0.3444 0.8444 0.0000
Ni 0.5000 0.5000 0.0000
Ca 0.8362 0.3362 0.5000
Bi 0.6556 0.1556 0.0000
Bi 0.8444 0.6556 0.0000

***

No. 7
The following is a PBE calculation of crystalline PuB2O8 at its relaxed geometry, from Alexandria.

Properties
- space-group type = C2/m (12)
- crystal system = monoclinic
- total energy (eV per atom) = -7.67

Cell lengths 5.9692, 4.5454, 6.8076 Å; angles 109.50, 60.85, 90.00 degrees
Site moments in Bohr magnetons follow the coordinates.
Fractional coordinates of all 11 atoms:
O 0.2037 0.2513 0.2122  0.35
O 0.7963 0.7487 0.7878  0.35
O 0.7544 0.5799 0.1598  -0.01
Pu 0.0000 0.0000 0.0000  4.28
O 0.2037 0.9608 0.2122  0.35
O 0.6569 0.2096 0.4193  -0.01
B 0.4521 0.3145 0.6291  0.00
O 0.7963 0.0392 0.7878  0.35
B 0.5479 0.6855 0.3709  0.00
O 0.3431 0.7904 0.5807  -0.01
O 0.2456 0.4201 0.8402  -0.01

***

No. 8
The following is a PBE calculation of crystalline LiUI4 at its relaxed geometry, from Alexandria.

Properties
- space-group type = P222 (16)
- crystal system = orthorhombic
- total energy (eV per atom) = -4.04

Cell lengths 7.9228, 7.5919, 8.2545 Å; angles 90.00, 90.00, 90.00 degrees
Site moments in Bohr magnetons follow the coordinates.
Fractional coordinates of all 12 atoms:
I 0.7315 0.2526 0.3493  -0.02
U 0.0000 0.5000 0.0000  2.97
I 0.2685 0.2526 0.6507  -0.02
Li 0.5000 0.0000 0.5000  0.00
I 0.7895 0.2190 0.8274  -0.02
U 0.0000 0.0000 0.5000  2.87
I 0.2685 0.7474 0.3493  -0.02
I 0.2105 0.2190 0.1726  -0.02
Li 0.0000 0.0000 0.0000  0.00
I 0.7315 0.7474 0.6507  -0.02
I 0.7895 0.7810 0.1726  -0.02
I 0.2105 0.7810 0.8274  -0.02

***

No. 9
The following is a PBE calculation of crystalline BaZnCd at its relaxed geometry, from Alexandria.

Properties
- space-group type = P-6m2 (187)
- calculated formation energy (eV/atom) = -0.2472
- crystal system = hexagonal
- total energy (eV per atom) = -1.62

Cell lengths 4.9716, 4.9716, 4.4320 Å; angles 90.00, 90.00, 120.00 degrees
Fractional coordinates of all 3 atoms:
Cd 0.6667 0.3333 0.5001
Zn 0.3333 0.6667 0.4999
Ba 0.0000 0.0000 0.0000

***

No. 10
The following is a PBE calculation of crystalline SmErZnCu at its relaxed geometry, from Alexandria.

Properties
- space-group type = P4mm (99)
- calculated formation energy (eV/atom) = -0.2766
- crystal system = tetragonal
- total energy (eV per atom) = -3.94

Cell lengths 3.5295, 3.5295, 7.1267 Å; angles 90.00, 90.00, 90.00 degrees
Fractional coordinates of all 4 atoms:
Sm 0.5000 0.5000 0.1111
Zn 0.0000 0.0000 0.8424
Cu 0.0000 0.0000 0.3764
Er 0.5000 0.5000 0.5982

***

No. 11
The following is a PBE calculation of crystalline SmOsBr at its relaxed geometry, from Alexandria.

Properties
- space-group type = R-3m (166)
- crystal system = trigonal
- total energy (eV per atom) = -6.84

Cell lengths 4.2072, 4.2072, 11.7343 Å; angles 79.67, 79.67, 60.00 degrees
Fractional coordinates of all 6 atoms:
Br 0.2806 0.2806 0.1582
Sm 0.4400 0.4400 0.6799
Os 0.8372 0.8372 0.4885
Br 0.7194 0.7194 0.8418
Os 0.1628 0.1628 0.5115
Sm 0.5600 0.5600 0.3201

***

No. 12
The following is a PBE calculation of crystalline LaY3Be at its relaxed geometry, from Alexandria.

Properties
- space-group type = Pm-3m (221)
- calculated formation energy (eV/atom) = 1.2942
- crystal system = cubic
- total energy (eV per atom) = -4.31

Cell lengths 5.5586, 5.5586, 5.5586 Å; angles 90.00, 90.00, 90.00 degrees
Fractional coordinates of all 5 atoms:
Be 0.5000 0.5000 0.5000
La 0.0000 0.0000 0.0000
Y 0.0000 0.0000 0.5000
Y 0.0000 0.5000 0.0000
Y 0.5000 0.0000 0.0000